A plane-wave DFT calculation with PBE was carried out for a geometry-optimized LiCd2Ag5 structure.

Values from the calculation:
E above lowest polymorph: 322 meV per atom
SG: P4/mmm
E: -2.0397 eV per atom
Energy of formation from the pure elements: 0.21 eV/atom

a b c (Å): 4.4925 6.0290 6.0290
angles (deg): 90.00 90.00 90.00
Closest atoms and distances in Å follow each position.
Positions (direct):
Li1 0.0000 0.0000 0.0000  6 Ag 2.25-2.34
Cd1 0.5000 0.5000 0.0000  10 Ag 3.01-3.10
Cd2 0.5000 0.0000 0.5000  10 Ag 3.01-3.10
Ag1 0.0000 0.7251 0.7251  1 Li 2.34
Ag2 0.0000 0.2749 0.7251  1 Li 2.34
Ag3 0.0000 0.7251 0.2749  1 Li 2.34
Ag4 0.5000 0.0000 0.0000  2 Li 2.25
Ag5 0.0000 0.2749 0.2749  1 Li 2.34

---

A plane-wave DFT calculation with PBE was carried out for a geometry-optimized Tb2Er3TmTe6 structure.

Values from the calculation:
SG: C2/m
E: -5.0930 eV per atom
ΔE_f (raw): -1.24 eV/atom

a b c (Å): 4.3084 8.7116 9.6822
angles (deg): 102.74 102.86 90.00
Closest atoms and distances in Å follow each position.
Positions (direct):
Tb1 0.8305 0.6643 0.6611  6 Te 3.06-3.14
Tb2 0.1695 0.3357 0.3389  6 Te 3.06-3.14
Er1 0.5000 0.5000 0.0000  6 Te 3.02-3.07
Er2 0.8296 0.1670 0.6593  6 Te 3.03-3.10
Er3 0.1704 0.8330 0.3407  6 Te 3.03-3.10
Tm1 0.5000 0.0000 0.0000  6 Te 3.02-3.05
Te1 0.3356 0.9217 0.6712  1 Tm 3.02, 3 Er 3.04-3.05, 2 Tb 3.10
Te2 0.6642 0.5850 0.3283  3 Er 3.02-3.03, 3 Tb 3.06-3.08
Te3 0.6644 0.0783 0.3288  1 Tm 3.02, 3 Er 3.04-3.05, 2 Tb 3.10
Te4 0.9985 0.2478 0.9970  2 Tm 3.05, 3 Er 3.07-3.10, 1 Tb 3.14
Te5 0.0015 0.7522 0.0030  2 Tm 3.05, 3 Er 3.07-3.10, 1 Tb 3.14
Te6 0.3358 0.4150 0.6717  3 Er 3.02-3.03, 3 Tb 3.06-3.08

---

A plane-wave DFT calculation with PBE was carried out for a geometry-optimized Li4CdSn2 structure.

Values from the calculation:
E above lowest polymorph: 40 meV per atom
SG: R-3m
E: -2.6298 eV per atom
Energy of formation from the pure elements: -0.26 eV/atom

a b c (Å): 4.7024 4.7024 8.0270
angles (deg): 72.97 72.97 60.00
Closest atoms and distances in Å follow each position.
Positions (direct):
Li1 0.8722 0.8722 0.3833  4 Sn 2.86-2.93, 1 Cd 2.90
Li2 0.1278 0.1278 0.6167  4 Sn 2.86-2.93, 1 Cd 2.90
Li3 0.6179 0.6179 0.1464  4 Sn 2.80-2.91, 3 Cd 2.93
Li4 0.3821 0.3821 0.8536  4 Sn 2.80-2.91, 3 Cd 2.93
Cd1 0.0000 0.0000 0.0000  8 Li 2.90-2.93
Sn1 0.7461 0.7461 0.7618  8 Li 2.80-2.93
Sn2 0.2539 0.2539 0.2382  8 Li 2.80-2.93

---

A plane-wave DFT calculation with PBE was carried out for a geometry-optimized CeErSb2 structure.

Values from the calculation:
E above lowest polymorph: 6 meV per atom
SG: Pmmn
E: -5.7483 eV per atom
ΔE_f (raw): -1.06 eV/atom

a b c (Å): 4.4214 6.2708 8.8470
angles (deg): 90.00 90.00 90.00
Closest atoms and distances in Å follow each position.
Positions (direct):
Ce1 0.7500 0.7498 0.3722  6 Sb 3.14-3.18
Ce2 0.2500 0.2502 0.6278  6 Sb 3.14-3.18
Er1 0.2500 0.2496 0.1239  6 Sb 3.08-3.14
Er2 0.7500 0.7504 0.8761  6 Sb 3.08-3.14
Sb1 0.7500 0.2498 0.3696  2 Er 3.10, 4 Ce 3.14-3.18
Sb2 0.2500 0.7502 0.6304  2 Er 3.10, 4 Ce 3.14-3.18
Sb3 0.2500 0.7497 0.1184  4 Er 3.08-3.14, 2 Ce 3.15
Sb4 0.7500 0.2503 0.8816  4 Er 3.08-3.14, 2 Ce 3.15

---

A plane-wave DFT calculation with PBE was carried out for a geometry-optimized Tb2HoMg9 structure.

Values from the calculation:
SG: R-3m
E: -2.3756 eV per atom
Energy of formation from the pure elements: -0.03 eV/atom

a b c (Å): 6.0377 6.0377 10.3061
angles (deg): 72.97 72.97 60.00
Closest atoms and distances in Å follow each position.
Positions (direct):
Tb1 0.8576 0.8576 0.4273  12 Mg 3.47-3.56, 3 Tb 3.76
Tb2 0.1424 0.1424 0.5727  12 Mg 3.47-3.56, 3 Tb 3.76
Ho1 0.0000 0.0000 0.0000  18 Mg 3.49-3.88
Mg1 0.6659 0.6659 0.0023  6 Mg 3.00
Mg2 0.3341 0.3341 0.9977  6 Mg 3.00
Mg3 0.5000 0.5000 0.5000  6 Mg 2.99
Mg4 0.4136 0.4136 0.2517  7 Mg 2.97-3.06
Mg5 0.9210 0.4136 0.2517  7 Mg 2.97-3.06
Mg6 0.4136 0.9210 0.2517  7 Mg 2.97-3.06
Mg7 0.5864 0.5864 0.7483  7 Mg 2.97-3.06
Mg8 0.5864 0.0790 0.7483  7 Mg 2.97-3.06
Mg9 0.0790 0.5864 0.7483  7 Mg 2.97-3.06

---

A plane-wave DFT calculation with PBE was carried out for a geometry-optimized Zn4BiPd structure.

Values from the calculation:
SG: F-43m
E: -2.3908 eV per atom
Energy of formation from the pure elements: -0.03 eV/atom

a b c (Å): 5.2830 5.2830 5.2830
angles (deg): 60.00 60.00 60.00
Closest atoms and distances in Å follow each position.
Positions (direct):
Zn1 0.6261 0.6261 0.1218  6 Zn 2.62-2.66
Zn2 0.6261 0.1218 0.6261  6 Zn 2.62-2.66
Zn3 0.6261 0.6261 0.6261  6 Zn 2.62-2.66
Zn4 0.1218 0.6261 0.6261  6 Zn 2.62-2.66
Bi1 0.2500 0.2500 0.2500  12 Zn 3.10, 4 Pd 3.24
Pd1 0.0000 0.0000 0.0000  12 Zn 3.10, 4 Bi 3.24

---

A plane-wave DFT calculation with PBE was carried out for a geometry-optimized Cs2TePI structure.

Values from the calculation:
SG: P4/mmm
E: -3.0294 eV per atom
ΔE_f (raw): -0.67 eV/atom

a b c (Å): 7.0736 5.0144 7.0736
angles (deg): 90.00 90.00 90.00
Closest atoms and distances in Å follow each position.
Positions (direct):
Cs1 0.0000 0.0000 0.5000  2 P 3.54
Cs2 0.5000 0.0000 0.0000  2 P 3.54
I1 0.5000 0.5000 0.5000  8 Cs 4.34
Te1 0.0000 0.5000 0.0000  2 P 2.51
P1 0.0000 0.0000 0.0000  2 Te 2.51

---

A plane-wave DFT calculation with PBE was carried out for a geometry-optimized LiIn3Cu structure.

Values from the calculation:
E above lowest polymorph: 213 meV per atom
SG: Pm-3m
E: -2.7297 eV per atom
Energy of formation from the pure elements: 0.12 eV/atom

a b c (Å): 5.0975 5.0975 5.0975
angles (deg): 90.00 90.00 90.00
Closest atoms and distances in Å follow each position.
Positions (direct):
Li1 0.5000 0.5000 0.5000  12 In 3.60
Cu1 0.0000 0.0000 0.0000  6 In 2.55
In1 0.0000 0.5000 0.0000  2 Cu 2.55
In2 0.0000 0.0000 0.5000  2 Cu 2.55
In3 0.5000 0.0000 0.0000  2 Cu 2.55

---

A plane-wave DFT calculation with PBE was carried out for a geometry-optimized NdSmMnZn structure.

Values from the calculation:
SG: F-43m
E: -4.9814 eV per atom
Energy of formation from the pure elements: 0.00 eV/atom

a b c (Å): 5.1638 5.1638 5.1638
angles (deg): 60.00 60.00 60.00
Closest atoms and distances in Å follow each position.
Positions (direct):
Zn1 0.2500 0.2500 0.2500  4 Nd 3.16, 4 Sm 3.16
Mn1 0.7500 0.7500 0.7500  4 Nd 3.16, 4 Sm 3.16
Nd1 0.5000 0.5000 0.5000  4 Mn 3.16, 4 Zn 3.16
Sm1 0.0000 0.0000 0.0000  4 Mn 3.16, 4 Zn 3.16

---

A plane-wave DFT calculation with PBE was carried out for a geometry-optimized Tb2EuTm structure.

Values from the calculation:
E above lowest polymorph: 98 meV per atom
SG: R-3m
E: -5.8480 eV per atom
Energy of formation from the pure elements: 0.15 eV/atom

a b c (Å): 3.5274 3.5274 12.6633
angles (deg): 81.99 81.99 60.00
Closest atoms and distances in Å follow each position.
Positions (direct):
Eu1 0.0000 0.0000 0.0000  2 Tb 3.44, 6 Eu 3.53
Tm1 0.5000 0.5000 0.5000  6 Tb 3.47, 6 Tm 3.53
Tb1 0.0917 0.0917 0.7249  1 Eu 3.44, 3 Tm 3.47, 6 Tb 3.53
Tb2 0.9083 0.9083 0.2751  1 Eu 3.44, 3 Tm 3.47, 6 Tb 3.53